No. 1
A geometry-optimized ErHgPd structure. Source: Alexandria via LeMat-Bulk, functional PBE-GGA.

The formation energy from the elements comes out at -0.675 eV/atom. Its density of states at the Fermi level is 1.64 states/eV/f.u. As for the space-group type: P6_3/mmc (194).

a b c (Å): 4.980 4.980 5.946
angles (deg): 90.00 90.00 119.97
Fractional coordinates of all 6 atoms:
Pd 0.667 0.833 0.250
Pd 0.333 0.167 0.750
Er 0.333 0.167 0.250
Er 0.667 0.833 0.750
Hg 0.000 0.500 0.000
Hg 0.000 0.500 0.500

No. 2
A geometry-optimized ErHg2Pd9 structure. Source: Alexandria via LeMat-Bulk, functional PBE-GGA.

The formation energy from the elements comes out at -0.362 eV/atom. Its density of states at the Fermi level is 15.90 states/eV/f.u. As for the space-group type: P4/mmm (123).

a b c (Å): 4.050 4.050 12.365
angles (deg): 90.00 90.00 90.00
Fractional coordinates of all 12 atoms:
Er 0.000 0.000 0.000
Pd 0.500 0.000 0.832
Pd 0.500 0.000 0.500
Pd 0.500 0.500 0.000
Pd 0.500 0.500 0.332
Pd 0.000 0.500 0.168
Pd 0.000 0.500 0.500
Pd 0.000 0.500 0.832
Pd 0.500 0.500 0.668
Pd 0.500 0.000 0.168
Hg 0.000 0.000 0.336
Hg 0.000 0.000 0.664

No. 3
A geometry-optimized ErHgPd2 structure. Source: Alexandria via LeMat-Bulk, functional PBE-GGA.

The formation energy from the elements comes out at -0.664 eV/atom. Its density of states at the Fermi level is 1.36 states/eV/f.u. As for the space-group type: P4/mmm (123).

a b c (Å): 3.586 3.586 6.055
angles (deg): 90.00 90.00 90.00
Fractional coordinates of all 4 atoms:
Er 0.500 0.500 0.000
Pd 0.000 0.000 0.748
Pd 0.000 0.000 0.252
Hg 0.500 0.500 0.500

No. 4
A geometry-optimized Er2HgPd9 structure. Source: Alexandria via LeMat-Bulk, functional PBE-GGA.

The formation energy from the elements comes out at -0.636 eV/atom. Its density of states at the Fermi level is 11.18 states/eV/f.u. As for the space-group type: P4/mmm (123).

a b c (Å): 4.073 4.073 12.376
angles (deg): 90.00 90.00 90.00
Fractional coordinates of all 12 atoms:
Pd 0.000 0.500 0.167
Pd 0.500 0.000 0.833
Pd 0.000 0.500 0.500
Pd 0.500 0.500 0.665
Pd 0.500 0.500 0.335
Pd 0.500 0.000 0.500
Pd 0.500 0.500 0.000
Pd 0.000 0.500 0.833
Pd 0.500 0.000 0.167
Hg 0.000 0.000 0.000
Er 0.000 0.000 0.669
Er 0.000 0.000 0.331

No. 5
A geometry-optimized ErHgPd structure. Source: Alexandria via LeMat-Bulk, functional PBE-GGA.

The formation energy from the elements comes out at -0.585 eV/atom. Its density of states at the Fermi level is 1.71 states/eV/f.u. As for the space-group type: F-43m (216).

a b c (Å): 4.682 4.682 4.682
angles (deg): 60.00 60.00 60.00
Fractional coordinates of all 3 atoms:
Er 0.000 0.000 0.000
Pd 0.250 0.250 0.250
Hg 0.500 0.500 0.500

No. 6
A geometry-optimized Er2HgPd structure. Source: Alexandria via LeMat-Bulk, functional PBE-GGA.

The formation energy from the elements comes out at -0.705 eV/atom. Its density of states at the Fermi level is 2.60 states/eV/f.u. The energy above the most stable polymorph in this dataset comes out at 0.0 meV/atom. As for the space-group type: P4/mmm (123).

a b c (Å): 3.550 3.550 7.318
angles (deg): 90.00 90.00 90.00
Fractional coordinates of all 4 atoms:
Hg 0.500 0.500 0.500
Er 0.000 0.000 0.771
Er 0.000 0.000 0.229
Pd 0.500 0.500 0.000

No. 7
A geometry-optimized Er2Hg3Pd8 structure. Source: Alexandria via LeMat-Bulk, functional PBE-GGA.

The formation energy from the elements comes out at -0.282 eV/atom. Its density of states at the Fermi level is 7.64 states/eV/f.u. As for the space-group type: R-3m (166).

a b c (Å): 5.351 5.351 10.734
angles (deg): 75.57 75.57 60.00
Fractional coordinates of all 13 atoms:
Pd 0.277 0.277 0.170
Pd 0.270 0.775 0.686
Pd 0.225 0.730 0.314
Pd 0.775 0.270 0.686
Pd 0.730 0.225 0.314
Pd 0.270 0.270 0.686
Pd 0.723 0.723 0.830
Pd 0.730 0.730 0.314
Hg 0.814 0.814 0.558
Hg 0.186 0.186 0.442
Hg 0.000 0.000 0.000
Er 0.634 0.634 0.098
Er 0.366 0.366 0.902

No. 8
A geometry-optimized ErHg3Pd6 structure. Source: Alexandria via LeMat-Bulk, functional PBE-GGA.

The formation energy from the elements comes out at -0.404 eV/atom. Its density of states at the Fermi level is 2.90 states/eV/f.u. The energy above the most stable polymorph in this dataset comes out at 0.0 meV/atom. As for the space-group type: P2_1/m (11).

a b c (Å): 4.303 8.854 9.468
angles (deg): 95.38 90.00 90.00
Fractional coordinates of all 20 atoms:
Hg 0.250 0.344 0.806
Hg 0.250 0.552 0.398
Hg 0.250 0.755 0.985
Hg 0.750 0.448 0.602
Hg 0.750 0.245 0.015
Hg 0.750 0.656 0.194
Pd 0.250 0.452 0.100
Pd 0.750 0.754 0.495
Pd 0.750 0.548 0.900
Pd 0.750 0.147 0.699
Pd 0.250 0.246 0.505
Pd 0.250 0.640 0.698
Pd 0.250 0.151 0.209
Pd 0.750 0.946 0.091
Pd 0.750 0.360 0.302
Pd 0.750 0.849 0.791
Pd 0.250 0.853 0.301
Pd 0.250 0.054 0.909
Er 0.250 0.938 0.625
Er 0.750 0.062 0.375

No. 9
A geometry-optimized ErHg3Pd4 structure. Source: Alexandria via LeMat-Bulk, functional PBE-GGA.

The formation energy from the elements comes out at -0.439 eV/atom. Its density of states at the Fermi level is 2.65 states/eV/f.u. As for the space-group type: P4/mmm (123).

a b c (Å): 4.619 6.972 9.236
angles (deg): 90.00 90.00 90.00
Fractional coordinates of all 16 atoms:
Hg 0.000 0.000 0.500
Hg 0.501 0.000 0.750
Hg 0.500 0.500 0.750
Hg 0.000 0.000 0.000
Hg 0.500 0.500 0.250
Hg 0.499 0.000 0.250
Pd 0.500 0.751 0.000
Pd 0.001 0.249 0.750
Pd 0.001 0.751 0.750
Pd 0.500 0.249 0.000
Pd 0.500 0.249 0.500
Pd 0.999 0.249 0.250
Pd 0.999 0.751 0.250
Pd 0.500 0.751 0.500
Er 0.000 0.500 0.500
Er 0.000 0.500 0.000

No. 10
A geometry-optimized Er2Hg3Pd2 structure. Source: Alexandria via LeMat-Bulk, functional PBE-GGA.

The formation energy from the elements comes out at -0.550 eV/atom. Its density of states at the Fermi level is 2.75 states/eV/f.u. As for the space-group type: C2/m (12).

a b c (Å): 3.927 5.526 7.705
angles (deg): 93.73 90.00 110.81
Fractional coordinates of all 7 atoms:
Er 0.383 0.766 0.654
Er 0.617 0.234 0.346
Pd 0.097 0.194 0.628
Pd 0.903 0.806 0.372
Hg 0.703 0.406 0.857
Hg 0.297 0.594 0.143
Hg 0.000 0.000 0.000

No. 11
A geometry-optimized Er12HgPd6 structure. Source: Alexandria via LeMat-Bulk, functional PBE-GGA.

The formation energy from the elements comes out at -0.620 eV/atom. Its density of states at the Fermi level is 21.76 states/eV/f.u. The energy above the most stable polymorph in this dataset comes out at 0.0 meV/atom. As for the space-group type: Im-3 (204).

a b c (Å): 8.514 8.514 8.514
angles (deg): 109.47 109.47 109.47
Fractional coordinates of all 19 atoms:
Er 0.706 0.523 0.818
Er 0.818 0.294 0.112
Er 0.112 0.818 0.294
Er 0.706 0.888 0.182
Er 0.523 0.818 0.706
Er 0.477 0.182 0.294
Er 0.294 0.112 0.818
Er 0.294 0.477 0.182
Er 0.888 0.182 0.706
Er 0.182 0.294 0.477
Er 0.182 0.706 0.888
Er 0.818 0.706 0.523
Hg 0.000 0.000 0.000
Pd 0.638 0.500 0.138
Pd 0.362 0.500 0.862
Pd 0.500 0.862 0.362
Pd 0.500 0.138 0.638
Pd 0.862 0.362 0.500
Pd 0.138 0.638 0.500

No. 12
A geometry-optimized ErHgPd5 structure. Source: Alexandria via LeMat-Bulk, functional PBE-GGA.

The formation energy from the elements comes out at -0.460 eV/atom. Its density of states at the Fermi level is 3.06 states/eV/f.u. As for the space-group type: Cmcm (63).

a b c (Å): 4.921 4.921 11.377
angles (deg): 90.01 90.01 71.96
Fractional coordinates of all 14 atoms:
Hg 0.000 0.000 0.000
Hg 0.000 0.000 0.500
Er 0.498 0.502 0.250
Er 0.502 0.498 0.750
Pd 0.998 0.501 0.123
Pd 0.501 0.998 0.877
Pd 0.499 0.002 0.123
Pd 0.002 0.998 0.750
Pd 0.501 0.998 0.623
Pd 0.998 0.002 0.250
Pd 0.002 0.499 0.877
Pd 0.002 0.499 0.623
Pd 0.998 0.501 0.377
Pd 0.499 0.002 0.377

no.,theoretical density (g/cm³)
1,12.33
2,12.50
3,12.38
4,12.08
5,10.85
6,11.55
7,11.65
8,13.02
9,13.34
10,12.24
11,9.95
12,11.41